No. 1
# Er2Rh2Au | Alexandria | PBE | relaxed
data_Er2Rh2Au
_chemical_formula_sum 'Er4 Rh4 Au2'
_space_group_name_H-M_alt 'P 4/m b m'
_space_group_IT_number 127
_space_group_name_Hall '-P 4 2ab'
_cell_length_a 7.295
_cell_length_b 7.295
_cell_length_c 3.751
_cell_angle_alpha 90.00
_cell_angle_beta 90.00
_cell_angle_gamma 90.00
loop_
_atom_site_label
_atom_site_type_symbol
_atom_site_fract_x
_atom_site_fract_y
_atom_site_fract_z
Er1 Er 0.171 0.329 0.000
Rh1 Rh 0.133 0.633 0.500
Au1 Au 0.000 0.000 0.500
# uncorrected energy	-6.27	eV/atom
# magnetization	0.000	μB per formula unit


No. 2
# Ge2BiRh2 | Alexandria | PBE | relaxed
data_Ge2BiRh2
_chemical_formula_sum 'Ge4 Bi2 Rh4'
_space_group_name_H-M_alt 'I 4/m m m'
_space_group_IT_number 139
_space_group_name_Hall '-I 4 2'
_cell_length_a 3.875
_cell_length_b 3.875
_cell_length_c 12.363
_cell_angle_alpha 90.00
_cell_angle_beta 90.00
_cell_angle_gamma 90.00
loop_
_atom_site_label
_atom_site_type_symbol
_atom_site_fract_x
_atom_site_fract_y
_atom_site_fract_z
Ge1 Ge 0.000 0.500 0.250
Bi1 Bi 0.000 0.000 0.000
Rh1 Rh 0.000 0.000 0.377
# uncorrected energy	-5.81	eV/atom
# magnetization	0.000	μB per formula unit


No. 3
# SrRe2W | Alexandria | PBE | relaxed
data_SrRe2W
_chemical_formula_sum 'Sr4 Re8 W4'
_space_group_name_H-M_alt 'F m -3 m'
_space_group_IT_number 225
_space_group_name_Hall '-F 4 2 3'
_cell_length_a 6.585
_cell_length_b 6.585
_cell_length_c 6.585
_cell_angle_alpha 90.00
_cell_angle_beta 90.00
_cell_angle_gamma 90.00
loop_
_atom_site_label
_atom_site_type_symbol
_atom_site_fract_x
_atom_site_fract_y
_atom_site_fract_z
Sr1 Sr 0.000 0.000 0.000
Re1 Re 0.250 0.250 0.250
W1 W 0.000 0.000 0.500
# uncorrected energy	-8.82	eV/atom
# magnetization	0.000	μB per formula unit


No. 4
# TbPr3Th3 | Alexandria | PBE | relaxed
data_TbPr3Th3
_chemical_formula_sum 'Tb2 Pr6 Th6'
_space_group_name_H-M_alt 'P 63/m'
_space_group_IT_number 176
_space_group_name_Hall '-P 6c'
_cell_length_a 9.6518
_cell_length_b 9.6518
_cell_length_c 5.9441
_cell_angle_alpha 90.00
_cell_angle_beta 90.00
_cell_angle_gamma 120.00
loop_
_atom_site_label
_atom_site_type_symbol
_atom_site_fract_x
_atom_site_fract_y
_atom_site_fract_z
Tb1 Tb 0.3333 0.6667 0.2500
Pr1 Pr 0.0448 0.7996 0.2500
Th1 Th 0.1050 0.6130 0.7500
# uncorrected energy	-5.82	eV/atom
# magnetization	0.000	μB per formula unit


- Which of these has the lowest uncorrected energy?
  SrRe2W


- Which formula does entry 4 have?
  TbPr3Th3


- What is the magnetization in the second record?
  0.000 μB per formula unit


- Which value of magnetization does entry 1 give?
  0.000 μB per formula unit